PBE NaMg2Tl9, relaxed; energy relative to the elements = -0.010 eV/atom; symmetry = P4/mmm, No. 123
1.0
4.842 0.000 0.000
0.000 4.842 0.000
0.000 0.000 14.482
Na Mg Tl
1 2 9
direct
0.000 0.000 0.000
0.000 0.000 0.330
0.000 0.000 0.670
0.000 0.500 0.170
0.000 0.500 0.500
0.000 0.500 0.830
0.500 0.000 0.170
0.500 0.000 0.500
0.500 0.000 0.830
0.500 0.500 0.000
0.500 0.500 0.334
0.500 0.500 0.666